[1]
First-principles (GGA-PBEsol) data for a relaxed structure of Na2FeIr, as listed in the Alexandria database.

Calculated values
- uncorrected energy (eV for the cell shown) = -16.78
- formation enthalpy at 0 K (eV per atom) = 1.2018
- symmetry = Fm-3m, No. 225

Unit cell a=4.571 b=4.571 c=4.571 alpha=60.00 beta=60.00 gamma=60.00
Fractional positions:
Na: 0.250 0.250 0.250
Na: 0.750 0.750 0.750
Fe: 0.000 0.000 0.000
Ir: 0.500 0.500 0.500

=====

[2]
First-principles (GGA-PBEsol) data for a relaxed structure of NbFe2IrOs, as listed in the Alexandria database.

Calculated values
- uncorrected energy (eV for the cell shown) = -42.77
- formation enthalpy at 0 K (eV per atom) = 1.6043
- symmetry = P4/mmm, No. 123

Unit cell a=4.349 b=4.349 c=4.702 alpha=90.00 beta=90.00 gamma=90.00
Fractional positions:
Nb: 0.000 0.000 0.000
Fe: 0.000 0.500 0.500
Fe: 0.500 0.000 0.500
Ir: 0.500 0.500 0.000
Os: 0.500 0.500 0.500

=====

[3]
First-principles (GGA-PBEsol) data for a relaxed structure of FeNi6Ir, as listed in the Alexandria database.

Calculated values
- uncorrected energy (eV for the cell shown) = -222.96
- formation enthalpy at 0 K (eV per atom) = -0.0010
- symmetry = Cmmm, No. 65

Unit cell a=6.117 b=6.117 c=9.997 alpha=90.00 beta=90.00 gamma=109.61
Fractional positions:
Fe: 0.000 0.000 0.247
Fe: 0.000 0.000 0.753
Fe: 0.250 0.750 0.000
Fe: 0.750 0.250 0.000
Ni: 0.000 0.000 0.000
Ni: 0.000 0.000 0.500
Ni: 0.121 0.373 0.122
Ni: 0.121 0.373 0.878
Ni: 0.122 0.370 0.371
Ni: 0.122 0.370 0.629
Ni: 0.248 0.752 0.246
Ni: 0.248 0.752 0.754
Ni: 0.370 0.122 0.371
Ni: 0.370 0.122 0.629
Ni: 0.373 0.121 0.122
Ni: 0.373 0.121 0.878
Ni: 0.500 0.500 0.000
Ni: 0.500 0.500 0.500
Ni: 0.627 0.879 0.122
Ni: 0.627 0.879 0.878
Ni: 0.630 0.878 0.371
Ni: 0.630 0.878 0.629
Ni: 0.752 0.248 0.246
Ni: 0.752 0.248 0.754
Ni: 0.878 0.630 0.371
Ni: 0.878 0.630 0.629
Ni: 0.879 0.627 0.122
Ni: 0.879 0.627 0.878
Ir: 0.249 0.751 0.500
Ir: 0.500 0.500 0.249
Ir: 0.500 0.500 0.751
Ir: 0.751 0.249 0.500

=====

[4]
First-principles (GGA-PBEsol) data for a relaxed structure of FePIrO2, as listed in the Alexandria database.

Calculated values
- uncorrected energy (eV for the cell shown) = -34.39
- E_form (uncorrected) (eV per atom) = 0.14
- symmetry = P4/mmm, No. 123

Unit cell a=3.674 b=3.674 c=5.327 alpha=90.00 beta=90.00 gamma=90.00
Fractional positions:
Fe: 0.000 0.000 0.000
P: 0.500 0.500 0.000
Ir: 0.500 0.500 0.500
O: 0.000 0.500 0.500
O: 0.500 0.000 0.500

=====

[5]
First-principles (GGA-PBEsol) data for a relaxed structure of FeIr2Os, as listed in the Alexandria database.

Calculated values
- excess energy over the best structure of this formula in the dataset (meV/atom) = 44
- uncorrected energy (eV for the cell shown) = -40.68
- formation enthalpy at 0 K (eV per atom) = 0.0354
- symmetry = Pmm2, No. 25

Unit cell a=2.673 b=3.733 c=5.327 alpha=90.00 beta=90.00 gamma=90.00
Fractional positions:
Fe: 0.000 0.000 0.000
Ir: 0.000 0.000 0.508
Ir: 0.500 0.500 0.238
Os: 0.500 0.500 0.758

=====

[6]
First-principles (GGA-PBEsol) data for a relaxed structure of FeIr2Os, as listed in the Alexandria database.

Calculated values
- excess energy over the best structure of this formula in the dataset (meV/atom) = 8
- uncorrected energy (eV for the cell shown) = -40.83
- formation enthalpy at 0 K (eV per atom) = -0.0003
- symmetry = I4/mmm, No. 139

Unit cell a=4.619 b=4.619 c=4.619 alpha=132.03 beta=132.03 gamma=70.18
Fractional positions:
Fe: 0.000 0.000 0.000
Ir: 0.250 0.750 0.500
Ir: 0.750 0.250 0.500
Os: 0.500 0.500 0.000

=====

[7]
First-principles (GGA-PBEsol) data for a relaxed structure of FeIr2Os, as listed in the Alexandria database.

Calculated values
- excess energy over the best structure of this formula in the dataset (meV/atom) = 47
- uncorrected energy (eV for the cell shown) = -40.67
- formation enthalpy at 0 K (eV per atom) = 0.0380
- symmetry = Cmmm, No. 65

Unit cell a=4.594 b=4.594 c=2.672 alpha=90.00 beta=90.00 gamma=109.50
Fractional positions:
Fe: 0.000 0.000 0.000
Ir: 0.000 0.500 0.500
Ir: 0.500 0.000 0.500
Os: 0.500 0.500 0.000

=====

[8]
First-principles (GGA-PBEsol) data for a relaxed structure of FeIr2Os, as listed in the Alexandria database.

Calculated values
- excess energy over the best structure of this formula in the dataset (meV/atom) = 42
- uncorrected energy (eV for the cell shown) = -40.70
- formation enthalpy at 0 K (eV per atom) = 0.0327
- symmetry = R-3m, No. 166

Unit cell a=8.737 b=8.737 c=8.737 alpha=17.68 beta=17.68 gamma=17.68
Fractional positions:
Fe: 0.000 0.000 0.000
Ir: 0.252 0.252 0.252
Ir: 0.748 0.748 0.748
Os: 0.500 0.500 0.500

=====

[9]
First-principles (GGA-PBEsol) data for a relaxed structure of FeIr2Os, as listed in the Alexandria database.

Calculated values
- excess energy over the best structure of this formula in the dataset (meV/atom) = 12
- uncorrected energy (eV for the cell shown) = -40.81
- formation enthalpy at 0 K (eV per atom) = 0.0031
- symmetry = P4/mmm, No. 123

Unit cell a=2.691 b=2.691 c=7.410 alpha=90.00 beta=90.00 gamma=90.00
Fractional positions:
Fe: 0.000 0.000 0.000
Ir: 0.500 0.500 0.244
Ir: 0.500 0.500 0.756
Os: 0.000 0.000 0.500

=====

[10]
First-principles (GGA-PBEsol) data for a relaxed structure of FeIr2Os, as listed in the Alexandria database.

Calculated values
- excess energy over the best structure of this formula in the dataset (meV/atom) = 36
- uncorrected energy (eV for the cell shown) = -40.72
- formation enthalpy at 0 K (eV per atom) = 0.0277
- symmetry = C2/m, No. 12

Unit cell a=4.618 b=4.618 c=4.585 alpha=99.76 beta=99.76 gamma=33.67
Fractional positions:
Fe: 0.000 0.000 0.000
Ir: 0.251 0.251 0.753
Ir: 0.749 0.749 0.247
Os: 0.500 0.500 0.500

=====

[11]
First-principles (GGA-PBEsol) data for a relaxed structure of FeIr2Os, as listed in the Alexandria database.

Calculated values
- excess energy over the best structure of this formula in the dataset (meV/atom) = 39
- uncorrected energy (eV for the cell shown) = -40.71
- formation enthalpy at 0 K (eV per atom) = 0.0298
- symmetry = Cm, No. 8

Unit cell a=4.603 b=4.603 c=4.602 alpha=100.01 beta=100.01 gamma=33.84
Fractional positions:
Fe: 0.000 0.000 0.000
Ir: 0.501 0.501 0.509
Ir: 0.747 0.747 0.238
Os: 0.252 0.252 0.750

=====

[12]
First-principles (GGA-PBEsol) data for a relaxed structure of FeIr2Os, as listed in the Alexandria database.

Calculated values
- excess energy over the best structure of this formula in the dataset (meV/atom) = 538
- uncorrected energy (eV for the cell shown) = -38.71
- formation enthalpy at 0 K (eV per atom) = 0.5290
- symmetry = Fm-3m, No. 225

Unit cell a=4.283 b=4.283 c=4.283 alpha=60.00 beta=60.00 gamma=60.00
Fractional positions:
Fe: 0.000 0.000 0.000
Ir: 0.250 0.250 0.250
Ir: 0.750 0.750 0.750
Os: 0.500 0.500 0.500

=====

[13]
First-principles (GGA-PBEsol) data for a relaxed structure of FeIr2Os, as listed in the Alexandria database.

Calculated values
- excess energy over the best structure of this formula in the dataset (meV/atom) = 0
- uncorrected energy (eV for the cell shown) = -40.86
- formation enthalpy at 0 K (eV per atom) = -0.0088
- symmetry = Pmmm, No. 47

Unit cell a=2.688 b=3.743 c=5.306 alpha=90.00 beta=90.00 gamma=90.00
Fractional positions:
Fe: 0.000 0.000 0.000
Ir: 0.500 0.500 0.245
Ir: 0.500 0.500 0.755
Os: 0.000 0.000 0.500

=====

[14]
First-principles (GGA-PBEsol) data for a relaxed structure of FeIr2Os, as listed in the Alexandria database.

Calculated values
- excess energy over the best structure of this formula in the dataset (meV/atom) = 40
- uncorrected energy (eV for the cell shown) = -40.70
- formation enthalpy at 0 K (eV per atom) = 0.0314
- symmetry = I-4m2, No. 119

Unit cell a=4.587 b=4.587 c=4.587 alpha=131.89 beta=131.89 gamma=70.40
Fractional positions:
Fe: 0.000 0.000 0.000
Ir: 0.500 0.500 0.000
Ir: 0.750 0.250 0.500
Os: 0.250 0.750 0.500